# 1
The following is a DFT calculation (GGA-PBE) of an optimized crystal structure of La9SmEr2.

Cell lengths 5.2031, 5.2031, 15.6233 Å; angles 90.00, 90.00, 90.00 degrees
Atoms (fractional coordinates):
1 La 0.5000 0.5000 0.0000
2 La 0.5000 0.5000 0.3337
3 La 0.5000 0.5000 0.6663
4 La 0.5000 0.0000 0.1679
5 La 0.5000 0.0000 0.5000
6 La 0.5000 0.0000 0.8321
7 La 0.0000 0.5000 0.1679
8 La 0.0000 0.5000 0.5000
9 La 0.0000 0.5000 0.8321
10 Sm 0.0000 0.0000 0.0000
11 Er 0.0000 0.0000 0.3342
12 Er 0.0000 0.0000 0.6658

Calculated values
- total energy (eV per atom) = -4.84
- M_tot (Bohr magnetons per cell) = 0.00

---

# 2
The following is a DFT calculation (GGA-PBE) of an optimized crystal structure of LaSm2Er6.

Cell lengths 7.9740, 8.5536, 8.7882 Å; angles 88.80, 90.00, 90.00 degrees
Atoms (fractional coordinates):
1 La 0.5000 0.5000 0.0000
2 La 0.0000 0.0000 0.5000
3 Sm 0.6279 0.0787 0.1708
4 Sm 0.1279 0.4213 0.3292
5 Sm 0.8721 0.5787 0.6708
6 Sm 0.3721 0.9213 0.8292
7 Er 0.1520 0.2769 0.7694
8 Er 0.3729 0.1389 0.4671
9 Er 0.1467 0.0798 0.1210
10 Er 0.6467 0.4202 0.3790
11 Er 0.8729 0.3611 0.0329
12 Er 0.6520 0.2231 0.7306
13 Er 0.8480 0.7231 0.2306
14 Er 0.6271 0.8611 0.5329
15 Er 0.8533 0.9202 0.8790
16 Er 0.3533 0.5798 0.6210
17 Er 0.1271 0.6389 0.9671
18 Er 0.3480 0.7769 0.2694

Calculated values
- distance to the lowest polymorph of the same formula (meV/atom) = 0
- total energy (eV per atom) = -4.45
- M_tot (Bohr magnetons per cell) = 0.00

---

# 3
The following is a DFT calculation (GGA-PBE) of an optimized crystal structure of La6Sm12Er.

Cell lengths 10.1675, 10.1675, 10.1675 Å; angles 113.01, 113.01, 113.01 degrees
Atoms (fractional coordinates):
1 La 0.7053 0.4278 0.7053
2 La 0.7053 0.7053 0.4278
3 La 0.4278 0.7053 0.7053
4 La 0.2947 0.2947 0.5722
5 La 0.2947 0.5722 0.2947
6 La 0.5722 0.2947 0.2947
7 Sm 0.8763 0.1237 0.5000
8 Sm 0.2339 0.8945 0.2339
9 Sm 0.2339 0.2339 0.8945
10 Sm 0.1055 0.7661 0.7661
11 Sm 0.7661 0.7661 0.1055
12 Sm 0.7661 0.1055 0.7661
13 Sm 0.5000 0.8763 0.1237
14 Sm 0.1237 0.5000 0.8763
15 Sm 0.1237 0.8763 0.5000
16 Sm 0.5000 0.1237 0.8763
17 Sm 0.8763 0.5000 0.1237
18 Sm 0.8945 0.2339 0.2339
19 Er 0.0000 0.0000 0.0000

Calculated values
- distance to the lowest polymorph of the same formula (meV/atom) = 167
- total energy (eV per atom) = -4.48
- M_tot (Bohr magnetons per cell) = 0.00

---

# 4
The following is a DFT calculation (GGA-PBE) of an optimized crystal structure of LaSm2Er6.

Cell lengths 6.0449, 7.4336, 7.4336 Å; angles 60.00, 89.99, 89.99 degrees
Atoms (fractional coordinates):
1 La 0.0000 0.0000 0.0000
2 Sm 0.7852 0.6667 0.6667
3 Sm 0.2148 0.3333 0.3333
4 Er 0.2982 0.3731 0.8134
5 Er 0.2982 0.8134 0.8134
6 Er 0.2982 0.8134 0.3731
7 Er 0.7018 0.6269 0.1866
8 Er 0.7018 0.1866 0.1866
9 Er 0.7018 0.1866 0.6269

Calculated values
- distance to the lowest polymorph of the same formula (meV/atom) = 33
- total energy (eV per atom) = -4.42
- M_tot (Bohr magnetons per cell) = 0.00

---

# 5
The following is a DFT calculation (GGA-PBE) of an optimized crystal structure of LaSm5Er12.

Cell lengths 11.3546, 10.3165, 5.9113 Å; angles 90.05, 90.09, 56.61 degrees
Atoms (fractional coordinates):
1 La 0.0000 0.0000 0.0000
2 Sm 0.5000 0.0000 0.5000
3 Sm 0.1668 0.6663 0.5000
4 Sm 0.8332 0.3337 0.5000
5 Sm 0.6700 0.6600 0.0000
6 Sm 0.3300 0.3400 0.0000
7 Er 0.8204 0.0000 0.4535
8 Er 0.1796 0.0000 0.5465
9 Er 0.6717 0.0000 0.9527
10 Er 0.3283 0.0000 0.0473
11 Er 0.3465 0.6668 0.9461
12 Er 0.9867 0.6668 0.0539
13 Er 0.0133 0.3332 0.9461
14 Er 0.6535 0.3332 0.0539
15 Er 0.5095 0.3338 0.5535
16 Er 0.8433 0.6662 0.5535
17 Er 0.1567 0.3338 0.4465
18 Er 0.4905 0.6662 0.4465

Calculated values
- total energy (eV per atom) = -4.52
- M_tot (Bohr magnetons per cell) = 0.00

---

# 6
The following is a DFT calculation (GGA-PBE) of an optimized crystal structure of La2Sm5Er6.

Cell lengths 3.5962, 11.7528, 20.4880 Å; angles 90.00, 90.00, 90.00 degrees
Atoms (fractional coordinates):
1 La 0.0000 0.3292 0.2776
2 La 0.0000 0.6708 0.7224
3 La 0.0000 0.8292 0.2224
4 La 0.0000 0.1708 0.7776
5 Sm 0.5000 0.2989 0.4461
6 Sm 0.5000 0.7011 0.5539
7 Sm 0.5000 0.7989 0.0539
8 Sm 0.5000 0.2011 0.9461
9 Sm 0.5000 0.5899 0.2830
10 Sm 0.5000 0.4101 0.7170
11 Sm 0.5000 0.0899 0.2170
12 Sm 0.5000 0.9101 0.7830
13 Sm 0.5000 0.5000 0.0000
14 Sm 0.5000 0.0000 0.5000
15 Er 0.0000 0.0730 0.3619
16 Er 0.0000 0.9270 0.6381
17 Er 0.0000 0.5730 0.1381
18 Er 0.0000 0.4270 0.8619
19 Er 0.5000 0.3167 0.1230
20 Er 0.5000 0.6833 0.8770
21 Er 0.5000 0.8167 0.3770
22 Er 0.5000 0.1833 0.6230
23 Er 0.0000 0.5615 0.4256
24 Er 0.0000 0.4385 0.5744
25 Er 0.0000 0.0615 0.0744
26 Er 0.0000 0.9385 0.9256

Calculated values
- total energy (eV per atom) = -4.58
- M_tot (Bohr magnetons per cell) = 0.00

---

# 7
The following is a DFT calculation (GGA-PBE) of an optimized crystal structure of La8Sm3Er2.

Cell lengths 5.9048, 7.7459, 10.9973 Å; angles 110.62, 90.03, 90.00 degrees
Atoms (fractional coordinates):
1 La 0.0015 0.6756 0.3513
2 La 0.9985 0.3244 0.6487
3 La 0.9997 0.1338 0.2677
4 La 0.0003 0.8662 0.7323
5 La 0.4994 0.5966 0.7874
6 La 0.4994 0.1908 0.7874
7 La 0.5006 0.8092 0.2126
8 La 0.5006 0.4034 0.2126
9 Sm 0.5000 0.0000 0.0000
10 Sm 0.0000 0.2825 0.0000
11 Sm 0.0000 0.7175 0.0000
12 Er 0.4985 0.2408 0.4816
13 Er 0.5015 0.7592 0.5184

Calculated values
- distance to the lowest polymorph of the same formula (meV/atom) = 35
- total energy (eV per atom) = -4.64
- M_tot (Bohr magnetons per cell) = 0.00

---

# 8
The following is a DFT calculation (GGA-PBE) of an optimized crystal structure of LaSm7Er3.

Cell lengths 6.4384, 7.7489, 7.7441 Å; angles 81.35, 85.56, 85.53 degrees
Atoms (fractional coordinates):
1 La 0.5000 0.5000 0.5000
2 Sm 0.7896 0.2345 0.2346
3 Sm 0.7414 0.9264 0.5768
4 Sm 0.2586 0.4231 0.0734
5 Sm 0.7414 0.5769 0.9266
6 Sm 0.0000 0.5000 0.5000
7 Sm 0.2586 0.0736 0.4232
8 Sm 0.2104 0.7655 0.7654
9 Er 0.0002 0.8311 0.1691
10 Er 0.5000 0.0000 0.0000
11 Er 0.9998 0.1689 0.8309

Calculated values
- distance to the lowest polymorph of the same formula (meV/atom) = 24
- total energy (eV per atom) = -4.48
- M_tot (Bohr magnetons per cell) = 0.00

---

# 9
The following is a DFT calculation (GGA-PBE) of an optimized crystal structure of La6Sm4Er.

Cell lengths 6.0029, 5.7767, 26.2576 Å; angles 90.00, 90.00, 121.30 degrees
Atoms (fractional coordinates):
1 La 0.5000 0.0000 0.0000
2 La 0.5000 0.0000 0.5000
3 La 0.1158 0.2316 0.3166
4 La 0.8842 0.7684 0.6834
5 La 0.8842 0.7684 0.8166
6 La 0.1158 0.2316 0.1834
7 La 0.7939 0.5879 0.3971
8 La 0.2061 0.4121 0.6029
9 La 0.2061 0.4121 0.8971
10 La 0.7939 0.5879 0.1029
11 La 0.4400 0.8799 0.2500
12 La 0.5600 0.1201 0.7500
13 Sm 0.8519 0.7038 0.5447
14 Sm 0.4478 0.8957 0.1245
15 Sm 0.1481 0.2962 0.4553
16 Sm 0.5522 0.1043 0.8755
17 Sm 0.8519 0.7038 0.9553
18 Sm 0.1481 0.2962 0.0447
19 Sm 0.5522 0.1043 0.6245
20 Sm 0.4478 0.8957 0.3755
21 Er 0.7813 0.5625 0.2500
22 Er 0.2187 0.4375 0.7500

Calculated values
- distance to the lowest polymorph of the same formula (meV/atom) = 0
- total energy (eV per atom) = -4.72
- M_tot (Bohr magnetons per cell) = 0.01

---

# 10
The following is a DFT calculation (GGA-PBE) of an optimized crystal structure of LaSm4Er6.

Cell lengths 7.8337, 7.8337, 8.4505 Å; angles 117.61, 117.61, 90.00 degrees
Atoms (fractional coordinates):
1 La 0.5000 0.5000 0.0000
2 Sm 0.0969 0.7570 0.8540
3 Sm 0.9031 0.9031 0.1460
4 Sm 0.7570 0.0969 0.8540
5 Sm 0.2430 0.2430 0.1460
6 Er 0.9491 0.4249 0.3740
7 Er 0.4249 0.9491 0.3740
8 Er 0.5751 0.5751 0.6260
9 Er 0.0000 0.5000 0.0000
10 Er 0.0509 0.0509 0.6260
11 Er 0.5000 0.0000 0.0000

Calculated values
- total energy (eV per atom) = -4.20
- M_tot (Bohr magnetons per cell) = 0.00

---

# 11
The following is a DFT calculation (GGA-PBE) of an optimized crystal structure of La4SmEr2.

Cell lengths 6.9856, 9.0938, 9.0938 Å; angles 79.33, 67.35, 67.35 degrees
Atoms (fractional coordinates):
1 La 0.1537 0.3453 0.3481
2 La 0.1537 0.8481 0.8453
3 La 0.2251 0.2426 0.7426
4 La 0.7893 0.2426 0.7426
5 La 0.2107 0.7574 0.2574
6 La 0.8463 0.1519 0.1547
7 La 0.7749 0.7574 0.2574
8 La 0.8463 0.6547 0.6519
9 Sm 0.0000 0.5000 0.0000
10 Sm 0.5000 0.5000 0.0000
11 Er 0.2845 0.9655 0.4655
12 Er 0.5000 0.0000 0.0000
13 Er 0.5000 0.5000 0.5000
14 Er 0.7155 0.0345 0.5345

Calculated values
- distance to the lowest polymorph of the same formula (meV/atom) = 156
- total energy (eV per atom) = -4.57
- M_tot (Bohr magnetons per cell) = 0.00

---

# 12
The following is a DFT calculation (GGA-PBE) of an optimized crystal structure of La3SmEr7.

Cell lengths 5.8546, 8.4757, 8.4757 Å; angles 83.05, 110.16, 110.16 degrees
Atoms (fractional coordinates):
1 La 0.0000 0.7854 0.2146
2 La 0.5000 0.0000 0.0000
3 La 0.0000 0.2146 0.7854
4 Sm 0.5000 0.5000 0.5000
5 Er 0.2064 0.2071 0.2071
6 Er 0.2913 0.9871 0.5952
7 Er 0.7087 0.4048 0.0129
8 Er 0.2913 0.5952 0.9871
9 Er 0.0000 0.5000 0.5000
10 Er 0.7087 0.0129 0.4048
11 Er 0.7936 0.7929 0.7929

Calculated values
- distance to the lowest polymorph of the same formula (meV/atom) = 115
- total energy (eV per atom) = -4.40
- M_tot (Bohr magnetons per cell) = 0.00

---

Copy entry 2 word for word.
The following is a DFT calculation (GGA-PBE) of an optimized crystal structure of LaSm2Er6.

Cell lengths 7.9740, 8.5536, 8.7882 Å; angles 88.80, 90.00, 90.00 degrees
Atoms (fractional coordinates):
1 La 0.5000 0.5000 0.0000
2 La 0.0000 0.0000 0.5000
3 Sm 0.6279 0.0787 0.1708
4 Sm 0.1279 0.4213 0.3292
5 Sm 0.8721 0.5787 0.6708
6 Sm 0.3721 0.9213 0.8292
7 Er 0.1520 0.2769 0.7694
8 Er 0.3729 0.1389 0.4671
9 Er 0.1467 0.0798 0.1210
10 Er 0.6467 0.4202 0.3790
11 Er 0.8729 0.3611 0.0329
12 Er 0.6520 0.2231 0.7306
13 Er 0.8480 0.7231 0.2306
14 Er 0.6271 0.8611 0.5329
15 Er 0.8533 0.9202 0.8790
16 Er 0.3533 0.5798 0.6210
17 Er 0.1271 0.6389 0.9671
18 Er 0.3480 0.7769 0.2694

Calculated values
- distance to the lowest polymorph of the same formula (meV/atom) = 0
- total energy (eV per atom) = -4.45
- M_tot (Bohr magnetons per cell) = 0.00

---

Which value of M_tot does entry 10 give?
0.00 Bohr magnetons per cell

---

Number 5 is which compound?
LaSm5Er12